Entry 1:
Computed, not measured: a crystal of CaPdW3 relaxed with PBEsol at the SCAN level of DFT.

Values from the calculation:
Spin magnetization ... 0.000 μB per cell
Energy of formation ... 2.14 eV/atom
E ... -240.8 eV for the cell shown
Volume ... 21.835 A^3/atom

extended XYZ file:
```
5
Lattice="-4.5776 -0.3253 -1.3350 0.6580 -4.5955 -1.1363 -1.2063 -1.2721 4.4463" Properties=species:S:1:pos:R:3 pbc="T T T"
Pd 0.0000 0.0000 0.0000
Ca -2.5630 -3.0965 0.9875
W -0.6031 -0.6361 2.2231
W -2.2888 -0.1626 -0.6675
W 0.3290 -2.2977 -0.5682
```

Entry 2:
Computed, not measured: a crystal of TlFe2Rh relaxed with PBEsol at the SCAN level of DFT.

Values from the calculation:
Spin magnetization ... 6.603 μB per cell
Energy of formation ... 0.34 eV/atom
E ... -141.0 eV for the cell shown
Volume ... 14.363 A^3/atom

extended XYZ file:
```
4
Lattice="4.3312 0.0000 0.0000 2.1656 3.7509 0.0000 2.1656 1.2503 3.5364" Properties=species:S:1:pos:R:3 pbc="T T T"
Fe 2.1656 1.2503 0.8841
Fe 6.4968 3.7509 2.6523
Rh 0.0000 0.0000 0.0000
Tl 4.3312 2.5006 1.7682
```

Entry 3:
Computed, not measured: a crystal of TcTeSe relaxed with PBEsol at the SCAN level of DFT.

Values from the calculation:
Spin magnetization ... 0.000 μB per cell
E ... -92.3 eV for the cell shown
Uncorrected formation energy ... 1 kJ/mol of atoms
Volume ... 20.132 A^3/atom

extended XYZ file:
```
3
Lattice="4.4040 0.0000 0.0000 2.2020 3.8139 0.0000 2.2020 1.2713 3.5958" Properties=species:S:1:pos:R:3 pbc="T T T"
Tc 2.2020 1.2713 0.8990
Se 4.4040 2.5426 1.7979
Te 0.0000 0.0000 0.0000
```

Entry 4:
Computed, not measured: a crystal of Ag12Pb17 relaxed with PBEsol at the SCAN level of DFT.

Values from the calculation:
Spin magnetization ... 0.000 μB per cell
Energy of formation ... 0.12 eV/atom
E ... -1661.1 eV for the cell shown
Volume ... 23.953 A^3/atom

extended XYZ file:
```
29
Lattice="-7.8658 3.2107 -4.6044 5.2441 -5.4600 -6.0057 -2.6703 -5.2729 7.6450" Properties=species:S:1:pos:R:3 pbc="T T T"
Pb 0.0291 -4.8816 2.7299
Pb -5.7244 -3.0022 0.3487
Ag -2.8913 -1.7409 0.0206
Pb -5.5723 0.2875 -0.3862
Ag -0.7159 -2.4183 -7.8298
Ag 1.1517 -7.7751 2.4266
Ag 2.5854 -7.8090 -0.0463
Pb -2.9380 -4.6375 1.2086
Ag -3.0908 -0.8476 -7.5760
Pb 0.7026 -2.2865 -5.0558
Pb -3.5337 -5.0229 -1.9799
Pb -0.5120 -6.4496 -0.2084
Pb -2.5777 -3.0766 -5.0787
Pb 0.0000 0.0000 0.0000
Pb -0.4664 -4.6959 -3.0544
Ag -8.1198 -0.7287 1.0980
Pb 1.7424 -1.8141 -1.9954
Pb -3.1007 0.2290 -4.6493
Ag -0.4865 -3.3314 -0.2364
Pb 2.3252 -4.9358 -1.2304
Ag -5.9688 0.6604 -3.4696
Ag -7.1786 -2.2655 3.3170
Pb -0.8872 -1.7519 2.5401
Ag -2.6675 -4.7303 4.3139
Ag -1.4395 -1.7752 -2.4833
Ag 2.3615 -4.8492 -4.3600
Pb -2.6134 1.0668 -1.5298
Pb -4.0651 -2.1737 3.1675
Pb -4.5605 -1.9881 -2.6168
```

Repeat the second record exactly.
Computed, not measured: a crystal of TlFe2Rh relaxed with PBEsol at the SCAN level of DFT.

Values from the calculation:
Spin magnetization ... 6.603 μB per cell
Energy of formation ... 0.34 eV/atom
E ... -141.0 eV for the cell shown
Volume ... 14.363 A^3/atom

extended XYZ file:
```
4
Lattice="4.3312 0.0000 0.0000 2.1656 3.7509 0.0000 2.1656 1.2503 3.5364" Properties=species:S:1:pos:R:3 pbc="T T T"
Fe 2.1656 1.2503 0.8841
Fe 6.4968 3.7509 2.6523
Rh 0.0000 0.0000 0.0000
Tl 4.3312 2.5006 1.7682
```